ReTe2MoBr | the Alexandria database | GGA-PBE | relaxed; energy relative to the elements, uncorrected = 2.1675 eV/atom; E = -4.08 eV/atom; SG = P4/mmm (123)
1.0
5.593 0.000 0.000
0.000 5.593 0.000
0.000 0.000 4.706
Re Te Mo Br
1 2 1 1
direct
0.000 0.000 0.000 Re
0.000 0.500 0.500 Te
0.500 0.000 0.500 Te
0.500 0.500 0.000 Mo
0.000 0.000 0.500 Br



VIr3Rh2 | the Alexandria database | GGA-PBE | relaxed; energy above the most stable polymorph in this dataset = 155 meV/atom; E = -8.40 eV/atom; SG = Cmcm (63)
1.0
2.704 -6.659 0.000
2.704 6.659 0.000
0.000 0.000 4.882
V Ir Rh
2 6 4
direct
0.151 0.849 0.750 V
0.849 0.151 0.250 V
0.068 0.436 0.750 Ir
0.351 0.649 0.250 Ir
0.436 0.068 0.250 Ir
0.564 0.932 0.750 Ir
0.649 0.351 0.750 Ir
0.932 0.564 0.250 Ir
0.243 0.243 0.000 Rh
0.243 0.243 0.500 Rh
0.757 0.757 0.000 Rh
0.757 0.757 0.500 Rh